Record 1
In2Ag2GeS6 | GGA-PBEsol | optimized geometry

- ΔE_f (raw) (meV/atom) = -394
- SG = Cc (9)
- VASP energy (eV per atom) = -4.379

Cell lengths 7.0574, 7.0574, 12.1422 Å; angles 72.97, 72.97, 60.64 degrees
Closest atoms and distances in Å follow each position.
Sites, in units of the cell vectors:
Ag1 0.9920 0.7991 0.2464  4 S 2.51-2.63
Ag2 0.7991 0.9920 0.7464  4 S 2.51-2.63
Ag3 0.3806 0.8162 0.5871  4 S 2.53-2.64
Ag4 0.8162 0.3806 0.0871  4 S 2.53-2.64
S1 0.0563 0.5184 0.1301  2 In 2.50, 2 Ag 2.55
S2 0.6088 0.6327 0.9202  1 Ge 2.21
S3 0.6007 0.1195 0.9498  1 Ge 2.20
S4 0.1195 0.6007 0.4498  1 Ge 2.20
S5 0.6327 0.6088 0.4202  1 Ge 2.21
S6 0.5184 0.0563 0.6301  2 In 2.50, 2 Ag 2.55
S7 0.8278 0.3586 0.6916  1 Ge 2.20
S8 0.6549 0.1626 0.2564  2 In 2.49-2.50, 2 Ag 2.51-2.53
S9 0.0835 0.1001 0.9432  1 Ge 2.20
S10 0.1626 0.6549 0.7564  2 In 2.49-2.50, 2 Ag 2.51-2.53
S11 0.1001 0.0835 0.4432  1 Ge 2.20
S12 0.3586 0.8278 0.1916  1 Ge 2.20
In1 0.3166 0.5182 0.9396  4 S 2.49-2.52
In2 0.3059 0.1682 0.2427  4 S 2.48-2.51
In3 0.1682 0.3059 0.7427  4 S 2.48-2.51
In4 0.5182 0.3166 0.4396  4 S 2.49-2.52
Ge1 0.4054 0.9330 0.0001  4 S 2.20-2.21
Ge2 0.9330 0.4054 0.5001  4 S 2.20-2.21

=====

Record 2
CuHPd3 | GGA-PBEsol | optimized geometry

- SG = Pm-3m (221)
- D(E_F) (states/eV per cell) = 4.03
- VASP energy (eV per atom) = -5.203

Cell lengths 3.8787, 3.8787, 3.8787 Å; angles 90.00, 90.00, 90.00 degrees
Closest atoms and distances in Å follow each position.
Sites, in units of the cell vectors:
Pd1 0.0000 0.0000 0.5000  2 H 1.94
Pd2 0.5000 0.0000 0.0000  2 H 1.94
Pd3 0.0000 0.5000 0.0000  2 H 1.94
H1 0.0000 0.0000 0.0000  6 Pd 1.94
Cu1 0.5000 0.5000 0.5000  12 Pd 2.74

=====

Record 3
CuAsCSe2 | GGA-PBEsol | optimized geometry

- ΔE_f (raw) (meV/atom) = 1823
- SG = P4/mmm (123)
- D(E_F) (states/eV per cell) = 4.32
- VASP energy (eV per atom) = -3.533

Cell lengths 4.4949, 4.6686, 4.6686 Å; angles 90.00, 90.00, 90.00 degrees
Closest atoms and distances in Å follow each position.
Sites, in units of the cell vectors:
C1 0.5000 0.5000 0.5000  8 Se 3.24, 4 As 3.30
As1 0.5000 0.0000 0.0000  2 Cu 2.25
Cu1 0.0000 0.0000 0.0000  2 As 2.25, 4 Se 2.33
Se1 0.0000 0.5000 0.0000  2 Cu 2.33
Se2 0.0000 0.0000 0.5000  2 Cu 2.33

=====

Record 4
Sr2LaAu2 | GGA-PBEsol | optimized geometry

- formation energy from the elements (kJ/mol of formula units) = -271
- SG = P4/mbm (127)
- D(E_F) (states/eV per cell) = 8.94
- VASP energy (eV per atom) = -3.936

Cell lengths 4.6301, 8.0298, 8.0298 Å; angles 90.00, 90.00, 90.00 degrees
Closest atoms and distances in Å follow each position.
Sites, in units of the cell vectors:
Au1 0.0000 0.8677 0.6323  1 Au 3.00, 2 La 3.14, 6 Sr 3.27-3.33
Au2 0.0000 0.6323 0.1323  1 Au 3.00, 2 La 3.14, 6 Sr 3.27-3.33
Au3 0.0000 0.3677 0.8677  1 Au 3.00, 2 La 3.14, 6 Sr 3.27-3.33
Au4 0.0000 0.1323 0.3677  1 Au 3.00, 2 La 3.14, 6 Sr 3.27-3.33
La1 0.0000 0.0000 0.0000  4 Au 3.14
La2 0.0000 0.5000 0.5000  4 Au 3.14
Sr1 0.5000 0.1641 0.6641  6 Au 3.27-3.33
Sr2 0.5000 0.6641 0.8359  6 Au 3.27-3.33
Sr3 0.5000 0.8359 0.3359  6 Au 3.27-3.33
Sr4 0.5000 0.3359 0.1641  6 Au 3.27-3.33

=====

Record 5
Ta2B2Mo | GGA-PBEsol | optimized geometry

- formation energy from the elements (kJ/mol of formula units) = -364
- SG = P4/mbm (127)
- D(E_F) (states/eV per cell) = 2.33
- VASP energy (eV per atom) = -10.936

Cell lengths 3.2532, 6.0622, 6.0622 Å; angles 90.00, 90.00, 90.00 degrees
Closest atoms and distances in Å follow each position.
Sites, in units of the cell vectors:
Ta1 0.5000 0.3213 0.1787  6 B 2.42-2.44
Ta2 0.5000 0.6787 0.8213  6 B 2.42-2.44
Ta3 0.5000 0.1787 0.6787  6 B 2.42-2.44
Ta4 0.5000 0.8213 0.3213  6 B 2.42-2.44
B1 0.0000 0.8903 0.6097  1 B 1.88
B2 0.0000 0.6097 0.1097  1 B 1.88
B3 0.0000 0.3903 0.8903  1 B 1.88
B4 0.0000 0.1097 0.3903  1 B 1.88
Mo1 0.0000 0.0000 0.0000  4 B 2.46
Mo2 0.0000 0.5000 0.5000  4 B 2.46

=====

Record 6
Ca2CoAg | GGA-PBEsol | optimized geometry

- polymorph energy (0 for the lowest one) (eV per atom) = 0.225
- formation energy from the elements (kJ/mol of formula units) = 136
- SG = C2/m (12)
- D(E_F) (states/eV per cell) = 4.10
- VASP energy (eV per atom) = -3.476

Cell lengths 3.1170, 3.9526, 7.9400 Å; angles 96.85, 90.00, 113.22 degrees
Closest atoms and distances in Å follow each position.
Sites, in units of the cell vectors:
Ag1 0.5000 0.0000 0.0000  6 Ca 3.02-3.14, 2 Ag 3.12
Ca1 0.2579 0.5158 0.2822  3 Co 2.71-2.78, 1 Ag 3.02
Ca2 0.7421 0.4842 0.7178  3 Co 2.71-2.78, 1 Ag 3.02
Co1 0.0000 0.0000 0.5000  6 Ca 2.71-2.78

=====

Record 7
AlTcCl | GGA-PBEsol | optimized geometry

- polymorph energy (0 for the lowest one) (eV per atom) = 0.262
- ΔE_f (raw) (meV/atom) = 279
- SG = P-6m2 (187)
- D(E_F) (states/eV per cell) = 2.95
- VASP energy (eV per atom) = -5.509

Cell lengths 2.8532, 4.2450, 4.2450 Å; angles 120.00, 90.00, 90.00 degrees
Closest atoms and distances in Å follow each position.
Sites, in units of the cell vectors:
Cl1 0.5000 0.3333 0.6667  3 Tc 2.45
Al1 0.0000 0.0000 0.0000  6 Tc 2.84, 6 Cl 2.84, 2 Al 2.85
Tc1 0.5000 0.6667 0.3333  3 Cl 2.45

=====

Record 8
NaZnSiHO4 | GGA-PBEsol | optimized geometry

- SG = P2_12_12_1 (19)
- D(E_F) (states/eV per cell) = 0.00
- VASP energy (eV per atom) = -6.135

Cell lengths 5.1662, 7.6622, 9.3327 Å; angles 90.00, 90.00, 90.00 degrees
Closest atoms and distances in Å follow each position.
Sites, in units of the cell vectors:
Si1 0.5150 0.0138 0.1609  4 O 1.63-1.66
Si2 0.0150 0.4862 0.8391  4 O 1.63-1.66
Si3 0.9850 0.9862 0.6609  4 O 1.63-1.66
Si4 0.4850 0.5138 0.3391  4 O 1.63-1.66
O1 0.1280 0.8325 0.5667  1 Si 1.64
O2 0.3969 0.8299 0.0935  1 H 1.05
O3 0.9223 0.4582 0.6722  1 H 1.46
O4 0.4223 0.0418 0.3278  1 H 1.46
O5 0.8720 0.3325 0.9333  1 Si 1.64
O6 0.6280 0.6675 0.4333  1 Si 1.64
O7 0.6031 0.3299 0.4065  1 H 1.05
O8 0.5777 0.5418 0.1722  1 H 1.46
O9 0.3720 0.1675 0.0667  1 Si 1.64
O10 0.1031 0.1701 0.5935  1 H 1.05
O11 0.0777 0.9582 0.8278  1 H 1.46
O12 0.8296 0.0189 0.1512  1 Si 1.63
O13 0.3296 0.4811 0.8488  1 Si 1.63
O14 0.1704 0.5189 0.3488  1 Si 1.63
O15 0.6704 0.9811 0.6512  1 Si 1.63
O16 0.8969 0.6701 0.9065  1 H 1.05
Zn1 0.5255 0.3894 0.0095  4 O 1.93-1.97
Zn2 0.9745 0.6106 0.5095  4 O 1.93-1.97
Zn3 0.4745 0.8894 0.4905  4 O 1.93-1.97
Zn4 0.0255 0.1106 0.9905  4 O 1.93-1.97
H1 0.0206 0.2886 0.6267  1 O 1.05
H2 0.4794 0.7114 0.1267  1 O 1.05
H3 0.5206 0.2114 0.3733  1 O 1.05
H4 0.9794 0.7886 0.8733  1 O 1.05
Na1 0.0228 0.2094 0.3368  5 O 2.43-2.49, 2 H 2.59-2.62
Na2 0.5228 0.2906 0.6632  5 O 2.43-2.49, 2 H 2.59-2.62
Na3 0.4772 0.7906 0.8368  5 O 2.43-2.49, 2 H 2.59-2.62
Na4 0.9772 0.7094 0.1632  5 O 2.43-2.49, 2 H 2.59-2.62

=====

Magnetization (μB per formula unit)
0.00, 0.00, 0.60, 0.00, 0.00, 0.54, 0.00, 0.00